<w>
## Ti3CdS (PBE-GGA)

Data for a geometry-optimized Ti3CdS structure.

The structure in POSCAR format:
```
Ti3CdS
1.0
-0.248 -2.971 4.022
4.932 0.515 0.685
-0.820 3.996 2.902
S Ti Cd
1 3 1
Cartesian
1.932 0.770 3.804
-0.124 -1.486 2.011
2.466 0.258 0.342
-0.410 1.998 1.451
0.000 0.000 0.000
```

<x>
## Ti3CdS (PBE-GGA)

Data for a geometry-optimized Ti3CdS structure.

The structure in POSCAR format:
```
Ti3CdS
1.0
-0.564 -3.683 -2.561
4.067 0.669 -1.858
1.893 -2.536 3.230
Ti S Cd
3 1 1
Cartesian
2.034 0.335 -0.929
-0.282 -1.842 -1.281
0.946 -1.268 1.615
0.000 0.000 0.000
2.698 -2.775 -0.595
```

Which one is most stable, and which one is least stable? <x> is the most stable of them, while <w> is the least stable.

<w>
## Tl2CdS (PBE-GGA)

Data for a geometry-optimized Tl2CdS structure.

The structure in POSCAR format:
```
Tl2CdS
1.0
3.172 -1.642 4.020
3.445 3.440 2.283
-0.876 1.758 5.006
Tl Cd S
2 1 1
Cartesian
4.306 2.667 8.481
1.435 0.889 2.827
2.871 1.778 5.654
0.000 0.000 0.000
```

<x>
## Tl2CdS (PBE-GGA)

Data for a geometry-optimized Tl2CdS structure.

The structure in POSCAR format:
```
Tl2CdS
1.0
-1.450 4.112 -6.926
3.373 -6.081 -4.316
-2.084 -2.492 -5.878
S Cd Tl
2 2 4
Cartesian
1.125 -4.778 -7.907
0.961 -0.985 -5.621
0.000 0.000 0.000
-1.287 0.318 -9.213
-0.741 -2.789 -8.753
0.018 -3.410 -14.116
1.362 -3.786 -5.240
-0.963 1.064 -6.131
```

<y>
## Tl2CdS (PBE-GGA)

Data for a geometry-optimized Tl2CdS structure.

The structure in POSCAR format:
```
Tl2CdS
1.0
-1.778 2.437 -2.666
-4.016 0.231 -0.150
-1.739 8.898 6.256
Tl Cd S
2 1 1
Cartesian
-1.804 6.199 3.831
-5.729 5.368 -0.391
0.000 0.000 0.000
-3.766 5.784 1.720
```

Which one is most stable, and which one is least stable? <y> is the most stable of them, while <w> is the least stable.

<w>
## TlCd2S (PBE-GGA)

Data for a geometry-optimized TlCd2S structure.

The structure in POSCAR format:
```
TlCd2S
1.0
7.928 0.000 0.000
0.000 7.928 0.000
3.964 3.964 3.163
Tl S Cd
2 2 4
Cartesian
0.000 0.000 0.000
7.928 3.964 1.581
3.964 3.964 0.000
3.964 7.928 1.581
5.946 6.291 2.372
5.602 1.982 0.791
9.911 9.566 2.372
2.327 5.946 0.791
```

<x>
## TlCd2S (PBE-GGA)

Data for a geometry-optimized TlCd2S structure.

The structure in POSCAR format:
```
TlCd2S
1.0
-2.531 -2.830 3.546
-0.701 1.868 4.796
-4.743 1.431 1.562
S Cd Tl
1 2 1
Cartesian
0.000 0.000 0.000
-1.994 0.117 2.476
-5.981 0.352 7.428
-3.987 0.235 4.952
```

Which one is most stable, and which one is least stable? <w> is the most stable of them, while <x> is the least stable.

<w>
## TlCd3S (PBE-GGA)

Data for a geometry-optimized TlCd3S structure.

The structure in POSCAR format:
```
TlCd3S
1.0
5.284 0.000 0.000
0.000 5.284 0.000
0.000 0.000 5.284
S Cd Tl
1 3 1
Cartesian
0.000 0.000 0.000
0.000 2.642 0.000
2.642 0.000 0.000
0.000 0.000 2.642
2.642 2.642 2.642
```

<x>
## TlCd3S (PBE-GGA)

Data for a geometry-optimized TlCd3S structure.

The structure in POSCAR format:
```
TlCd3S
1.0
-3.438 -4.089 1.145
-0.394 -1.160 -5.325
4.228 -3.433 0.435
Cd S Tl
3 1 1
Cartesian
-0.197 -0.580 -2.662
2.114 -1.717 0.217
-1.719 -2.044 0.573
0.198 -4.341 -1.872
0.000 0.000 0.000
```

Which one is most stable, and which one is least stable? <w> is the most stable of them, while <x> is the least stable.

<w>
## V4CdS8 (PBE-GGA)

Data for a geometry-optimized V4CdS8 structure.

The structure in POSCAR format:
```
V4CdS8
1.0
-3.040 -5.744 -0.868
4.225 0.691 4.966
-4.832 5.145 2.405
V S Cd
4 8 1
Cartesian
2.488 -0.796 3.635
-6.135 0.887 2.868
0.243 -1.037 0.841
0.942 -4.016 3.257
-0.460 3.071 6.574
0.443 0.251 2.835
-0.881 -2.670 2.299
-3.187 -2.980 -0.070
-1.837 0.134 6.034
-4.089 -0.160 3.668
-1.809 -0.043 0.470
-2.765 2.761 4.205
-0.303 2.918 3.685
```

<x>
## V4CdS8 (PBE-GGA)

Data for a geometry-optimized V4CdS8 structure.

The structure in POSCAR format:
```
V4CdS8
1.0
-0.430 -6.882 0.798
3.947 -4.197 -3.872
5.246 -3.491 2.910
S V Cd
8 4 1
Cartesian
1.079 -1.794 -0.020
3.633 -7.049 1.550
5.498 -5.905 -0.439
3.080 -7.349 -1.339
0.861 -5.286 0.385
3.742 -3.566 1.457
5.315 -8.836 -0.099
3.082 -3.924 -1.985
6.147 -7.197 1.624
2.867 -9.157 0.403
3.116 -5.180 -0.058
5.396 -7.605 -2.295
6.572 -10.927 -0.123
```

Which one is most stable, and which one is least stable? <w> is the most stable of them, while <x> is the least stable.

<w>
## VCd3S (PBE-GGA)

Data for a geometry-optimized VCd3S structure.

The structure in POSCAR format:
```
VCd3S
1.0
-1.224 0.737 -4.905
-4.933 -0.708 1.124
-0.517 5.006 0.881
S Cd V
1 3 1
Cartesian
0.000 0.000 0.000
-2.467 -0.354 0.562
-0.259 2.503 0.440
-0.612 0.368 -2.453
-3.337 2.518 -1.450
```

<x>
## VCd3S (PBE-GGA)

Data for a geometry-optimized VCd3S structure.

The structure in POSCAR format:
```
VCd3S
1.0
5.340 0.000 0.000
0.000 5.340 0.000
0.000 0.000 5.340
Cd V S
3 1 1
Cartesian
0.000 0.000 2.670
0.000 2.670 0.000
2.670 0.000 0.000
0.000 0.000 0.000
2.670 2.670 2.670
```

Which one is most stable, and which one is least stable? <w> is the most stable of them, while <x> is the least stable.

<w>
## CdW3S (PBE-GGA)

Data for a geometry-optimized CdW3S structure.

The structure in POSCAR format:
```
CdW3S
1.0
4.881 0.000 0.000
0.000 4.881 0.000
0.000 0.000 4.881
S W Cd
1 3 1
Cartesian
2.440 2.440 2.440
0.000 2.440 0.000
2.440 0.000 0.000
0.000 0.000 2.440
0.000 0.000 0.000
```

<x>
## CdW3S (PBE-GGA)

Data for a geometry-optimized CdW3S structure.

The structure in POSCAR format:
```
CdW3S
1.0
-3.810 0.365 -2.286
-2.311 -0.840 3.719
-0.126 4.363 0.908
W S Cd
3 1 1
Cartesian
-1.156 -0.420 1.859
-1.905 0.183 -1.143
-0.063 2.182 0.454
0.000 0.000 0.000
-3.124 1.944 1.170
```

Which one is most stable, and which one is least stable? <x> is the most stable of them, while <w> is the least stable.

<w>
## Y2CdS (PBE-GGA)

Data for a geometry-optimized Y2CdS structure.

The structure in POSCAR format:
```
Y2CdS
1.0
4.290 0.000 0.000
0.000 3.860 -0.686
0.000 0.095 11.748
Y S Cd
4 2 2
Cartesian
1.073 0.323 1.816
1.073 1.266 7.127
3.218 2.690 3.935
3.218 3.633 9.246
3.218 3.163 6.598
1.073 0.793 4.464
3.218 2.098 0.600
1.073 1.858 10.462
```

<x>
## Y2CdS (PBE-GGA)

Data for a geometry-optimized Y2CdS structure.

The structure in POSCAR format:
```
Y2CdS
1.0
0.000 3.625 3.625
3.625 0.000 3.625
3.625 3.625 0.000
S Y Cd
1 2 1
Cartesian
0.000 0.000 0.000
5.438 5.438 5.438
1.813 1.813 1.813
3.625 3.625 3.625
```

Which one is most stable, and which one is least stable? <w> is the most stable of them, while <x> is the least stable.

<w>
## Y3CdS (PBE-GGA)

Data for a geometry-optimized Y3CdS structure.

The structure in POSCAR format:
```
Y3CdS
1.0
-3.200 3.646 1.845
-1.179 -3.068 4.017
3.912 2.058 2.719
Cd S Y
1 1 3
Cartesian
-0.233 1.318 4.291
0.000 0.000 0.000
-1.600 1.823 0.922
-0.589 -1.534 2.009
1.956 1.029 1.360
```

<x>
## Y3CdS (PBE-GGA)

Data for a geometry-optimized Y3CdS structure.

The structure in POSCAR format:
```
Y3CdS
1.0
3.900 0.000 0.000
0.000 9.084 0.000
0.000 0.000 14.894
Y Cd S
12 4 4
Cartesian
0.975 7.230 10.646
0.975 1.499 7.701
0.975 4.772 5.817
2.925 8.854 13.264
2.925 1.854 4.248
2.925 3.044 0.254
2.925 7.586 7.193
2.925 6.396 3.199
0.975 6.041 14.640
0.975 0.230 1.630
0.975 2.688 11.695
2.925 4.312 9.077
2.925 0.663 10.077
0.975 8.421 4.817
2.925 5.205 12.264
0.975 3.879 2.630
2.925 7.600 0.787
0.975 6.027 8.234
2.925 3.057 6.660
0.975 1.485 14.107
```

Which one is most stable, and which one is least stable? <x> is the most stable of them, while <w> is the least stable.

<w>
## ZnCd2S2 (PBE-GGA)

Data for a geometry-optimized ZnCd2S2 structure.

The structure in POSCAR format:
```
ZnCd2S2
1.0
4.549 0.000 0.000
0.000 4.549 0.000
2.275 2.275 6.562
Cd Zn S
2 1 2
Cartesian
4.549 2.275 3.281
2.275 4.549 3.281
0.000 0.000 0.000
4.549 4.549 4.614
2.275 2.275 1.947
```

<x>
## ZnCd2S2 (PBE-GGA)

Data for a geometry-optimized ZnCd2S2 structure.

The structure in POSCAR format:
```
ZnCd2S2
1.0
7.409 0.000 0.000
0.000 7.409 0.000
0.000 0.000 4.093
S Cd Zn
4 4 2
Cartesian
5.349 1.644 0.000
5.764 5.349 0.000
2.060 5.764 0.000
1.644 2.060 0.000
4.652 6.461 2.047
0.947 4.652 2.047
2.757 0.947 2.047
6.461 2.757 2.047
3.704 3.704 0.000
0.000 0.000 0.000
```

Which one is most stable, and which one is least stable? <w> is the most stable of them, while <x> is the least stable.

<w>
## ZnCd3S (PBE-GGA)

Data for a geometry-optimized ZnCd3S structure.

The structure in POSCAR format:
```
ZnCd3S
1.0
-2.276 0.233 4.527
-4.530 -0.289 -2.263
0.154 -5.059 0.338
Cd Zn S
3 1 1
Cartesian
0.077 -2.529 0.169
-1.138 0.117 2.263
-2.265 -0.145 -1.132
0.000 0.000 0.000
-3.326 -2.557 1.301
```

<x>
## ZnCd3S (PBE-GGA)

Data for a geometry-optimized ZnCd3S structure.

The structure in POSCAR format:
```
ZnCd3S
1.0
5.234 0.000 0.000
0.000 5.234 0.000
0.000 0.000 5.234
Cd S Zn
3 1 1
Cartesian
2.617 0.000 0.000
0.000 0.000 2.617
0.000 2.617 0.000
0.000 0.000 0.000
2.617 2.617 2.617
```

Which one is most stable, and which one is least stable? <w> is the most stable of them, while <x> is the least stable.

<w>
## ZrCd3S (PBE-GGA)

Data for a geometry-optimized ZrCd3S structure.

The structure in POSCAR format:
```
ZrCd3S
1.0
-2.447 -3.418 2.811
-2.410 -1.665 -4.122
3.711 -3.334 -0.823
Zr Cd S
1 3 1
Cartesian
-0.573 -4.208 -1.067
1.856 -1.667 -0.412
-1.223 -1.709 1.406
-1.205 -0.832 -2.061
0.000 0.000 0.000
```

<x>
## ZrCd3S (PBE-GGA)

Data for a geometry-optimized ZrCd3S structure.

The structure in POSCAR format:
```
ZrCd3S
1.0
-3.690 -0.707 -4.199
-2.116 -4.518 2.620
-3.696 3.292 2.693
Cd Zr S
3 1 1
Cartesian
-1.848 1.646 1.347
-1.058 -2.259 1.310
-1.845 -0.354 -2.100
0.000 0.000 0.000
-4.751 -0.966 0.557
```

Which one is most stable, and which one is least stable? <w> is the most stable of them, while <x> is the least stable.